Entry w
Entry from Alexandria via LeMat-Bulk: a relaxed structure of NbPd2N (GGA-PBE).

CIF file:
```
data_NbPd2N
_symmetry_space_group_name_H-M 'P 1'
_symmetry_Int_Tables_number 1
_cell_length_a 5.7249
_cell_length_b 5.7249
_cell_length_c 5.7249
_cell_angle_alpha 97.90
_cell_angle_beta 97.90
_cell_angle_gamma 136.48
loop_
_symmetry_equiv_pos_as_xyz
'x,y,z'
loop_
_atom_site_label
_atom_site_type_symbol
_atom_site_fract_x
_atom_site_fract_y
_atom_site_fract_z
Nb1 Nb 0.0000 0.0000 0.0000
Nb2 Nb 0.7500 0.2500 0.5000
Pd1 Pd 0.2352 0.1250 0.6102
Pd2 Pd 0.3750 0.7648 0.8898
Pd3 Pd 0.5148 0.6250 0.3898
Pd4 Pd 0.8750 0.4852 0.1102
N1 N 0.2500 0.7500 0.5000
N2 N 0.5000 0.5000 0.0000
```

---

Entry x
Entry from Alexandria via LeMat-Bulk: a relaxed structure of NbPd2N (GGA-PBE).

CIF file:
```
data_NbPd2N
_symmetry_space_group_name_H-M 'P 1'
_symmetry_Int_Tables_number 1
_cell_length_a 4.3565
_cell_length_b 4.3565
_cell_length_c 4.3565
_cell_angle_alpha 60.00
_cell_angle_beta 60.00
_cell_angle_gamma 60.00
loop_
_symmetry_equiv_pos_as_xyz
'x,y,z'
loop_
_atom_site_label
_atom_site_type_symbol
_atom_site_fract_x
_atom_site_fract_y
_atom_site_fract_z
Nb1 Nb 0.0000 0.0000 0.0000
Pd1 Pd 0.2500 0.2500 0.2500
Pd2 Pd 0.7500 0.7500 0.7500
N1 N 0.5000 0.5000 0.5000
```

---

What should be chosen as the least stable of them? Choose entry x.